--- one ---
## LiHf2Re (PBE-GGA)

Data for crystalline LiHf2Re at its relaxed geometry.

Geometry as POSCAR:
```
LiHf2Re
1.0
-3.485 -2.758 -1.206
-2.746 -1.789 3.235
-4.345 1.471 0.402
Hf Li Re
2 1 1
Direct
0.000 0.000 0.000
0.750 0.750 0.750
0.500 0.500 0.500
0.250 0.250 0.250
```

density: 13.23 Mg/m³

--- two ---
## LiHf2Re (PBE-GGA)

Data for crystalline LiHf2Re at its relaxed geometry.

Geometry as POSCAR:
```
LiHf2Re
1.0
-4.144 -2.032 0.373
1.279 -1.461 6.253
-5.568 12.086 3.962
Hf Li Re
12 6 6
Direct
0.500 0.250 0.000
0.500 0.750 0.000
0.999 0.250 0.167
0.999 0.750 0.167
0.499 0.250 0.333
0.499 0.750 0.333
0.000 0.250 0.500
0.000 0.750 0.500
0.501 0.250 0.667
0.501 0.750 0.667
0.001 0.250 0.833
0.001 0.750 0.833
0.000 0.000 0.000
0.499 0.500 0.167
0.999 0.000 0.333
0.500 0.500 0.500
0.001 0.000 0.667
0.501 0.500 0.833
0.000 0.500 0.000
0.499 0.000 0.167
0.999 0.500 0.333
0.500 0.000 0.500
0.001 0.500 0.667
0.501 0.000 0.833
```

density: 13.02 Mg/m³

The energy of each structure relative to the most stable one, in kJ/mol of atoms, is as follows: one 45.6; two 0.0.

--- one ---
## LiHfReTe (PBE-GGA)

Data for crystalline LiHfReTe at its relaxed geometry.

Geometry as POSCAR:
```
LiHfReTe
1.0
-1.714 -1.660 3.933
-3.825 -2.556 -0.055
0.233 -4.508 0.889
Hf Li Re Te
1 1 1 1
Direct
0.000 0.000 0.000
0.750 0.750 0.750
0.500 0.500 0.500
0.250 0.250 0.250
```

density: 12.04 Mg/m³

--- two ---
## LiHfReTe (PBE-GGA)

Data for crystalline LiHfReTe at its relaxed geometry.

Geometry as POSCAR:
```
LiHfReTe
1.0
0.000 3.237 3.237
3.237 0.000 3.237
3.237 3.237 0.000
Hf Li Re Te
1 1 1 1
Direct
0.500 0.500 0.500
0.750 0.750 0.750
0.250 0.250 0.250
0.000 0.000 0.000
```

density: 12.22 Mg/m³

The energy of each structure relative to the most stable one, in kJ/mol of atoms, is as follows: one 42.1; two 0.0.

--- one ---
## LiHfReW (PBE-GGA)

Data for crystalline LiHfReW at its relaxed geometry.

Geometry as POSCAR:
```
LiHfReW
1.0
3.993 0.273 2.040
1.485 3.962 1.508
0.216 0.784 4.418
Hf Li Re W
1 1 1 1
Direct
0.500 0.500 0.500
0.750 0.750 0.750
0.250 0.250 0.250
0.000 0.000 0.000
```

density: 14.39 Mg/m³

--- two ---
## LiHfReW (PBE-GGA)

Data for crystalline LiHfReW at its relaxed geometry.

Geometry as POSCAR:
```
LiHfReW
1.0
-3.576 -2.697 0.150
-3.653 0.986 -2.401
-1.078 -2.492 -3.565
Hf Li Re W
1 1 1 1
Direct
0.000 0.000 0.000
0.750 0.750 0.750
0.500 0.500 0.500
0.250 0.250 0.250
```

density: 14.50 Mg/m³

The energy of each structure relative to the most stable one, in kJ/mol of atoms, is as follows: one 0.0; two 9.6.